This record from Alexandria via LeMat-Bulk describes an optimized crystal structure of Ge2PAu. The functional is PBE-GGA.

Unit cell a=5.9507 b=5.9507 c=10.3893 alpha=90.00 beta=90.00 gamma=90.00
With the nearest neighbours (Å) after each atom.
Space group I-42d (No. 122)
One atom of each set of equivalent atoms:
Ge 0.2352 0.2500 0.1250 x8  2 P 2.42, 2 Au 2.53
P 0.0000 0.0000 0.0000 x4  4 Ge 2.42
Au 0.0000 0.0000 0.5000 x4  4 Ge 2.53

- Crystal system: tetragonal
- ΔH_f (0 K): 0.05 eV per atom
- Final energy: -70.82 eV per cell

This record from Alexandria via LeMat-Bulk describes an optimized crystal structure of GePAu. The functional is PBE-GGA.

Unit cell a=3.6653 b=3.6653 c=4.6759 alpha=90.00 beta=90.00 gamma=120.00
With the nearest neighbours (Å) after each atom.
Space group P3m1 (No. 156)
One atom of each set of equivalent atoms:
Ge 0.0000 0.0000 0.0000 x1  3 P 2.50, 3 Au 2.74
P 0.6667 0.3333 0.2862 x1  3 Ge 2.50, 3 Au 2.65
Au 0.3333 0.6667 0.6269 x1  3 P 2.65, 3 Ge 2.74

- Crystal system: trigonal
- ΔE to the lowest computed polymorph: 114 meV/atom
- ΔH_f (0 K): 0.11 eV per atom
- Final energy: -12.98 eV per cell

This record from Alexandria via LeMat-Bulk describes an optimized crystal structure of ReGeP2Au. The functional is PBE-GGA.

Unit cell a=4.5859 b=4.5859 c=4.7125 alpha=90.00 beta=90.00 gamma=90.00
With the nearest neighbours (Å) after each atom.
Space group P4/mmm (No. 123)
One atom of each set of equivalent atoms:
Re 0.0000 0.0000 0.0000 x1  2 Ge 2.36
Ge 0.0000 0.0000 0.5000 x1  4 P 2.29, 2 Re 2.36
P 0.0000 0.5000 0.5000 x2  2 Ge 2.29
Au 0.5000 0.5000 0.0000 x1  4 Re 3.24, 8 P 3.29

- Crystal system: tetragonal
- ΔH_f (0 K): 1.56 eV per atom
- Final energy: -23.35 eV per cell

This record from Alexandria via LeMat-Bulk describes an optimized crystal structure of Ge2SbPAu. The functional is PBE-GGA.

Unit cell a=4.8940 b=4.8940 c=5.5597 alpha=90.00 beta=90.00 gamma=90.00
With the nearest neighbours (Å) after each atom.
Space group P4/mmm (No. 123)
One atom of each set of equivalent atoms:
Ge 0.0000 0.5000 0.0000 x2  2 Au 2.45
Sb 0.0000 0.0000 0.5000 x1  2 Au 2.78
P 0.5000 0.5000 0.5000 x1  4 Sb 3.46, 8 Ge 3.70
Au 0.0000 0.0000 0.0000 x1  4 Ge 2.45

- Crystal system: tetragonal
- Raw formation energy: 859 meV/atom
- Final energy: -17.75 eV per cell

This record from Alexandria via LeMat-Bulk describes an optimized crystal structure of TcGePAu2. The functional is PBE-GGA.

Unit cell a=4.7693 b=4.7693 c=4.7390 alpha=90.00 beta=90.00 gamma=90.00
With the nearest neighbours (Å) after each atom.
Space group P4/mmm (No. 123)
One atom of each set of equivalent atoms:
Tc 0.0000 0.0000 0.0000 x1  2 Ge 2.37
Ge 0.0000 0.0000 0.5000 x1  2 Tc 2.37, 4 Au 2.38
P 0.5000 0.5000 0.0000 x1  8 Au 3.36, 4 Tc 3.37
Au 0.0000 0.5000 0.5000 x2  2 Ge 2.38

- Crystal system: tetragonal
- ΔH_f (0 K): 1.14 eV per atom
- Final energy: -21.26 eV per cell

This record from Alexandria via LeMat-Bulk describes an optimized crystal structure of YGe2PAu. The functional is PBE-GGA.

Unit cell a=4.7603 b=4.7603 c=5.8145 alpha=90.00 beta=90.00 gamma=90.00
With the nearest neighbours (Å) after each atom.
Space group P4/mmm (No. 123)
One atom of each set of equivalent atoms:
Y 0.0000 0.0000 0.0000 x1  2 Au 2.91
Ge 0.0000 0.5000 0.5000 x2  2 Au 2.38
P 0.5000 0.5000 0.0000 x1  4 Y 3.37, 8 Ge 3.76
Au 0.0000 0.0000 0.5000 x1  4 Ge 2.38

- Crystal system: tetragonal
- ΔH_f (0 K): 0.31 eV per atom
- Final energy: -22.83 eV per cell

Q: Number 3 is which compound?
A: ReGeP2Au